[1]
# Pr2Ga3Ni6 GGA-PBE relaxed
# energy	-5.194	eV per atom
# DFT formation energy	-0.35	eV/atom
data_Pr2Ga3Ni6
_chemical_formula_sum 'Pr2 Ga3 Ni6'
_space_group_name_H-M_alt 'P -6 2 m'
_space_group_IT_number 189
_space_group_name_Hall 'P -6 -2'
_cell_length_a 6.9357
_cell_length_b 6.9357
_cell_length_c 4.2962
_cell_angle_alpha 90.00
_cell_angle_beta 90.00
_cell_angle_gamma 120.00
loop_
_atom_site_label
_atom_site_type_symbol
_atom_site_fract_x
_atom_site_fract_y
_atom_site_fract_z
_atom_site_occupancy
Pr1 Pr 0.3333 0.6667 0.0000 1
Ga1 Ga 0.0000 0.6043 0.5000 1
Ni1 Ni 0.0000 0.2323 0.5000 1
Ni2 Ni 0.0000 0.7981 0.0000 1



[2]
# LiPrTe2 GGA-PBE relaxed
# energy	-4.489	eV per atom
data_LiPrTe2
_chemical_formula_sum 'Li3 Pr3 Te6'
_space_group_name_H-M_alt 'R 3 m'
_space_group_IT_number 160
_space_group_name_Hall 'R 3 -2"'
_cell_length_a 4.4558
_cell_length_b 4.4558
_cell_length_c 22.7483
_cell_angle_alpha 90.00
_cell_angle_beta 90.00
_cell_angle_gamma 120.00
loop_
_atom_site_label
_atom_site_type_symbol
_atom_site_fract_x
_atom_site_fract_y
_atom_site_fract_z
_atom_site_occupancy
Li1 Li 0.0000 0.0000 0.0000 1
Pr1 Pr 0.0000 0.0000 0.1764 1
Te1 Te 0.0000 0.0000 0.5944 1
Te2 Te 0.0000 0.0000 0.7611 1



[3]
# BaLiHgF6 GGA-PBE relaxed
# energy	-4.132	eV per atom
data_BaLiHgF6
_chemical_formula_sum 'Ba1 Li1 Hg1 F6'
_space_group_name_H-M_alt 'P 3 1 2'
_space_group_IT_number 149
_cell_length_a 5.6161
_cell_length_b 5.6161
_cell_length_c 5.6854
_cell_angle_alpha 90.00
_cell_angle_beta 90.00
_cell_angle_gamma 120.00
loop_
_space_group_symop_operation_xyz
'x,y,z'
'-y,x-y,z'
'-x+y,-x,z'
'-y,-x,-z'
'-x+y,y,-z'
'x,x-y,-z'
loop_
_atom_site_label
_atom_site_type_symbol
_atom_site_fract_x
_atom_site_fract_y
_atom_site_fract_z
_atom_site_occupancy
Ba1 Ba 0.0000 0.0000 0.0000 1
Li1 Li 0.3333 0.6667 0.5000 1
Hg1 Hg 0.6667 0.3333 0.5000 1
F1 F 0.0185 0.3799 0.7134 1



[4]
# HgAsSeBr2 GGA-PBE relaxed
# energy	-1.706	eV per atom
# energy above the lowest structure with this stoichiometry	582	meV/atom
data_HgAsSeBr2
_chemical_formula_sum 'Hg1 As1 Se1 Br2'
_space_group_name_H-M_alt 'P 4/m m m'
_space_group_IT_number 123
_space_group_name_Hall '-P 4 2'
_cell_length_a 5.3955
_cell_length_b 5.3955
_cell_length_c 5.5617
_cell_angle_alpha 90.00
_cell_angle_beta 90.00
_cell_angle_gamma 90.00
loop_
_atom_site_label
_atom_site_type_symbol
_atom_site_fract_x
_atom_site_fract_y
_atom_site_fract_z
_atom_site_occupancy
Hg1 Hg 0.0000 0.0000 0.0000 1
As1 As 0.0000 0.0000 0.5000 1
Se1 Se 0.5000 0.5000 0.5000 1
Br1 Br 0.0000 0.5000 0.0000 1